[1]
This record from the Alexandria database describes a relaxed ZnSbIr2 crystal. The functional is GGA-PBE.

Output
Fermi-level density of states = 20.744 states/eV per cell
calculated volume = 16.01 Å³/atom
energy relative to the lowest polymorph listed for this composition = 74 meV per atom

Geometry as CIF:
```
data_ZnSbIr2
_chemical_formula_sum 'Zn4 Sb4 Ir8'
_symmetry_space_group_name_H-M 'P 1'
_symmetry_Int_Tables_number 1
_cell_length_a 6.3515
_cell_length_b 6.3515
_cell_length_c 6.3515
_cell_angle_alpha 90.00
_cell_angle_beta 90.00
_cell_angle_gamma 90.00
loop_
_symmetry_equiv_pos_as_xyz
'x,y,z'
loop_
_atom_site_label
_atom_site_fract_x
_atom_site_fract_y
_atom_site_fract_z
_atom_site_occupancy
Zn1 0.0000 0.0000 0.0000 1
Zn2 0.0000 0.5000 0.5000 1
Zn3 0.5000 0.0000 0.5000 1
Zn4 0.5000 0.5000 0.0000 1
Sb1 0.0000 0.0000 0.5000 1
Sb2 0.0000 0.5000 0.0000 1
Sb3 0.5000 0.0000 0.0000 1
Sb4 0.5000 0.5000 0.5000 1
Ir1 0.2500 0.2500 0.2500 1
Ir2 0.2500 0.2500 0.7500 1
Ir3 0.2500 0.7500 0.2500 1
Ir4 0.2500 0.7500 0.7500 1
Ir5 0.7500 0.2500 0.2500 1
Ir6 0.7500 0.2500 0.7500 1
Ir7 0.7500 0.7500 0.2500 1
Ir8 0.7500 0.7500 0.7500 1
```



[2]
This record from the Alexandria database describes a relaxed La3DyTm12 crystal. The functional is GGA-PBE.

Output
formation energy from the elements = 39 meV/atom
Fermi-level density of states = 25.512 states/eV per cell
calculated volume = 31.51 Å³/atom

Geometry as CIF:
```
data_La3DyTm12
_chemical_formula_sum 'La3 Dy1 Tm12'
_symmetry_space_group_name_H-M 'P 1'
_symmetry_Int_Tables_number 1
_cell_length_a 5.0105
_cell_length_b 5.0105
_cell_length_c 20.0804
_cell_angle_alpha 90.00
_cell_angle_beta 90.00
_cell_angle_gamma 90.00
loop_
_symmetry_equiv_pos_as_xyz
'x,y,z'
loop_
_atom_site_label
_atom_site_fract_x
_atom_site_fract_y
_atom_site_fract_z
_atom_site_occupancy
La1 0.0000 0.0000 0.0000 1
La2 0.0000 0.0000 0.2502 1
La3 0.0000 0.0000 0.7498 1
Dy1 0.0000 0.0000 0.5000 1
Tm1 0.0000 0.5000 0.1258 1
Tm2 0.0000 0.5000 0.3784 1
Tm3 0.0000 0.5000 0.6216 1
Tm4 0.0000 0.5000 0.8742 1
Tm5 0.5000 0.0000 0.1258 1
Tm6 0.5000 0.0000 0.3784 1
Tm7 0.5000 0.0000 0.6216 1
Tm8 0.5000 0.0000 0.8742 1
Tm9 0.5000 0.5000 0.0000 1
Tm10 0.5000 0.5000 0.2522 1
Tm11 0.5000 0.5000 0.5000 1
Tm12 0.5000 0.5000 0.7478 1
```



[3]
This record from the Alexandria database describes a relaxed PmLu2Te crystal. The functional is GGA-PBE.

Output
raw total energy = -4.738 eV per atom
Fermi-level density of states = 5.063 states/eV per cell
calculated volume = 29.02 Å³/atom

Geometry as CIF:
```
data_PmLu2Te
_chemical_formula_sum 'Pm1 Lu2 Te1'
_symmetry_space_group_name_H-M 'P 1'
_symmetry_Int_Tables_number 1
_cell_length_a 3.8099
_cell_length_b 3.8099
_cell_length_c 7.9969
_cell_angle_alpha 90.00
_cell_angle_beta 90.00
_cell_angle_gamma 90.00
loop_
_symmetry_equiv_pos_as_xyz
'x,y,z'
loop_
_atom_site_label
_atom_site_fract_x
_atom_site_fract_y
_atom_site_fract_z
_atom_site_occupancy
Pm1 0.0000 0.0000 0.0000 1
Lu1 0.5000 0.5000 0.2784 1
Lu2 0.5000 0.5000 0.7216 1
Te1 0.0000 0.0000 0.5000 1
```



[4]
This record from the Alexandria database describes a relaxed TbTlIn crystal. The functional is GGA-PBE.

Output
formation energy from the elements = -298 meV/atom
Fermi-level density of states = 0.821 states/eV per cell
calculated volume = 26.87 Å³/atom
energy relative to the lowest polymorph listed for this composition = 0 meV per atom

Geometry as CIF:
```
data_TbTlIn
_chemical_formula_sum 'Tb1 Tl1 In1'
_symmetry_space_group_name_H-M 'P 1'
_symmetry_Int_Tables_number 1
_cell_length_a 5.0125
_cell_length_b 5.0125
_cell_length_c 3.7043
_cell_angle_alpha 90.00
_cell_angle_beta 90.00
_cell_angle_gamma 120.00
loop_
_symmetry_equiv_pos_as_xyz
'x,y,z'
loop_
_atom_site_label
_atom_site_fract_x
_atom_site_fract_y
_atom_site_fract_z
_atom_site_occupancy
Tb1 0.0000 0.0000 0.0000 1
Tl1 0.6667 0.3333 0.3635 1
In1 0.3333 0.6667 0.5937 1
```



Q: Number 4 is which compound?
A: TbTlIn



Q: Which of these has the lowest Fermi-level density of states?
A: TbTlIn



Q: Fermi-level density of states of number 1 (ZnSbIr2)?
A: 20.744 states/eV per cell



Please write out number 2 again, unchanged.
This record from the Alexandria database describes a relaxed La3DyTm12 crystal. The functional is GGA-PBE.

Output
formation energy from the elements = 39 meV/atom
Fermi-level density of states = 25.512 states/eV per cell
calculated volume = 31.51 Å³/atom

Geometry as CIF:
```
data_La3DyTm12
_chemical_formula_sum 'La3 Dy1 Tm12'
_symmetry_space_group_name_H-M 'P 1'
_symmetry_Int_Tables_number 1
_cell_length_a 5.0105
_cell_length_b 5.0105
_cell_length_c 20.0804
_cell_angle_alpha 90.00
_cell_angle_beta 90.00
_cell_angle_gamma 90.00
loop_
_symmetry_equiv_pos_as_xyz
'x,y,z'
loop_
_atom_site_label
_atom_site_fract_x
_atom_site_fract_y
_atom_site_fract_z
_atom_site_occupancy
La1 0.0000 0.0000 0.0000 1
La2 0.0000 0.0000 0.2502 1
La3 0.0000 0.0000 0.7498 1
Dy1 0.0000 0.0000 0.5000 1
Tm1 0.0000 0.5000 0.1258 1
Tm2 0.0000 0.5000 0.3784 1
Tm3 0.0000 0.5000 0.6216 1
Tm4 0.0000 0.5000 0.8742 1
Tm5 0.5000 0.0000 0.1258 1
Tm6 0.5000 0.0000 0.3784 1
Tm7 0.5000 0.0000 0.6216 1
Tm8 0.5000 0.0000 0.8742 1
Tm9 0.5000 0.5000 0.0000 1
Tm10 0.5000 0.5000 0.2522 1
Tm11 0.5000 0.5000 0.5000 1
Tm12 0.5000 0.5000 0.7478 1
```